# 1
DFT (PBEsol) results for a relaxed MgTaPb2 crystal.

Values from the calculation:
As for the final energy: -20.68 eV for the cell shown. The value obtained for the calculated formation energy is 0.3964 eV per atom.

a b c (Å): 3.881 3.881 5.958
angles (deg): 90.00 90.00 90.00
Positions (direct):
Mg 0.500 0.500 0.749
Pb 0.000 0.000 0.977
Pb 0.500 0.500 0.283
Ta 0.000 0.000 0.491

# 2
DFT (PBEsol) results for a relaxed MgTaPb2 crystal.

Values from the calculation:
As for the final energy: -20.46 eV for the cell shown. The value obtained for the calculated formation energy is 0.4515 eV per atom.

a b c (Å): 3.671 4.901 4.901
angles (deg): 90.00 90.00 90.00
Positions (direct):
Mg 0.500 0.000 0.000
Pb 0.000 0.000 0.500
Pb 0.000 0.500 0.000
Ta 0.500 0.500 0.500

# 3
DFT (PBEsol) results for a relaxed MgTa2Pb crystal.

Values from the calculation:
As for the final energy: -29.31 eV for the cell shown. The value obtained for the calculated formation energy is 0.3758 eV per atom.

a b c (Å): 2.984 4.682 5.658
angles (deg): 90.00 99.15 90.00
Positions (direct):
Mg 0.427 0.000 0.472
Pb 0.342 0.500 0.760
Ta 0.954 0.000 0.008
Ta 0.777 0.500 0.259

# 4
DFT (PBEsol) results for a relaxed MgTa2Pb crystal.

Values from the calculation:
As for the final energy: -29.02 eV for the cell shown. The value obtained for the calculated formation energy is 0.4489 eV per atom.

a b c (Å): 2.942 4.578 5.781
angles (deg): 90.00 90.00 90.00
Positions (direct):
Mg 0.500 0.500 0.000
Pb 0.500 0.500 0.500
Ta 0.000 0.000 0.762
Ta 0.000 0.000 0.238

- The highest calculated formation energy belongs to which entry?
  number 2

- Look up the final energy of the second one.
  -20.46 eV for the cell shown